1.
Material: KSiMo3
Method: DFT, PBE-GGA
State: relaxed

It has space group Pm-3m (No. 221), with a = 4.491 Å, b = 4.491 Å, c = 4.491 Å, α = 90.00°, β = 90.00° and γ = 90.00°. The inequivalent atoms are K at (0.000, 0.000, 0.000), Si at (0.500, 0.500, 0.500) and Mo at (0.000, 0.000, 0.500).

The value obtained for the formation energy (no corrections) is 3.1518 eV per atom. Its density of states at the Fermi level is 6.70 states/eV/f.u. The density is 6.509 g/cm³. The total energy comes out at -23.3 eV per formula unit. Its polymorph energy (0 for the lowest one) is 1659 meV/atom.

2.
Material: KSrZr2
Method: DFT, PBE-GGA
State: relaxed

It has space group Imm2 (No. 44), with a = 3.306 Å, b = 6.664 Å, c = 12.694 Å, α = 90.00°, β = 90.00° and γ = 90.00°. The inequivalent atoms are K at (0.000, 0.000, 0.000), Sr at (0.000, 0.500, 0.217), Zr at (0.000, 0.000, 0.449) and Zr at (0.000, 0.500, 0.766).

Its density of states at the Fermi level is 4.91 states/eV/f.u. The density is 3.671 g/cm³. The formation enthalpy at 0 K comes out at 745 meV/atom. The total energy comes out at -16.9 eV per formula unit. Its polymorph energy (0 for the lowest one) is 339 meV/atom.

3.
Material: La2RhSBr
Method: DFT, PBE-GGA
State: relaxed

It has space group P4/mmm (No. 123), with a = 5.497 Å, b = 5.497 Å, c = 4.941 Å, α = 90.00°, β = 90.00° and γ = 90.00°. The inequivalent atoms are La at (0.000, 0.500, 0.000), Rh at (0.000, 0.000, 0.500), S at (0.500, 0.500, 0.000) and Br at (0.500, 0.500, 0.500).

The value obtained for the formation energy (no corrections) is -0.2744 eV per atom. Its density of states at the Fermi level is 4.78 states/eV/f.u. The density is 5.479 g/cm³. The total energy comes out at -24.4 eV per formula unit. Its polymorph energy (0 for the lowest one) is 175 meV/atom.

4.
Material: Cs2Ac2CeS6
Method: DFT, PBE-GGA
State: relaxed

It has space group C2/m (No. 12), with a = 7.587 Å, b = 12.996 Å, c = 8.587 Å, α = 90.00°, β = 106.98° and γ = 90.00°. The inequivalent atoms are Cs at (0.000, 0.169, 0.000), Ac at (0.000, 0.335, 0.500), Ce at (0.000, 0.000, 0.500), S at (0.214, 0.157, 0.680) and S at (0.246, 0.000, 0.319).

The value obtained for the formation energy (no corrections) is -1.8509 eV per atom. The density is 4.316 g/cm³. The total energy comes out at -61.0 eV per formula unit.

5.
Material: Ba2NaLiH6
Method: DFT, PBE-GGA
State: relaxed

It has space group P4/mmm (No. 123), with a = 4.135 Å, b = 4.135 Å, c = 8.209 Å, α = 90.00°, β = 90.00° and γ = 90.00°. The inequivalent atoms are Ba at (0.000, 0.000, 0.243), Na at (0.500, 0.500, 0.500), Li at (0.500, 0.500, 0.000), H at (0.000, 0.500, 0.000), H at (0.000, 0.500, 0.500) and H at (0.500, 0.500, 0.232).

Its density of states at the Fermi level is 0.00 states/eV/f.u. The density is 3.676 g/cm³. The total energy comes out at -31.5 eV per formula unit.

6.
Material: AlV2C
Method: DFT, PBE-GGA
State: relaxed

It has space group I-42d (No. 122), with a = 6.225 Å, b = 6.225 Å, c = 5.109 Å, α = 90.00°, β = 90.00° and γ = 90.00°. The inequivalent atoms are Al at (0.000, 0.000, 0.000), V at (0.179, 0.750, 0.625) and C at (0.000, 0.000, 0.500).

Its density of states at the Fermi level is 3.96 states/eV/f.u. The density is 4.726 g/cm³. The formation enthalpy at 0 K comes out at 180 meV/atom. The total energy comes out at -30.5 eV per formula unit.